K2H6Se | PBE | relaxed

Properties
As for the energy above the lowest structure with this stoichiometry: 415 meV per atom. The space group is Fm-3m (225). For the mass density, the calculation gives 1.9 g cm⁻³. The total energy is -2.65 eV/atom.

Lattice parameters (Å, degrees): 5.895 5.895 5.895 60.00 60.00 60.00
Element x y z (fractional)
H (0.216, 0.784, 0.216)
H (0.784, 0.216, 0.216)
H (0.216, 0.784, 0.784)
H (0.784, 0.216, 0.784)
H (0.784, 0.784, 0.216)
H (0.216, 0.216, 0.784)
K (0.750, 0.750, 0.750)
K (0.250, 0.250, 0.250)
Se (0.000, 0.000, 0.000)